## Mn2FeH (PBE-GGA)

Data for a relaxed structure of Mn2FeH.

a b c (Å): 3.811 3.811 3.811
angles (deg): 60.00 60.00 60.00
Site moments in Bohr magnetons follow the coordinates.
Element x y z (fractional)
1 Mn 0.250 0.250 0.250  1.44
2 Mn 0.750 0.750 0.750  1.44
3 Fe 0.500 0.500 0.500  -2.04
4 H 0.000 0.000 0.000  -0.04

Values from the calculation:
E_tot: -6.945 eV per atom
crystal system: cubic

=====

## MnFe6H4 (PBE-GGA)

Data for a relaxed structure of MnFe6H4.

a b c (Å): 4.998 4.972 4.921
angles (deg): 70.76 70.57 109.45
Site moments in Bohr magnetons follow the coordinates.
Element x y z (fractional)
1 H 0.322 0.270 0.967  -0.03
2 H 0.610 0.375 0.193  -0.03
3 H 0.363 0.581 0.211  -0.03
4 H 0.596 0.735 0.706  -0.03
5 Fe 0.518 0.009 0.487  2.22
6 Fe 0.516 0.506 0.493  2.09
7 Fe 0.027 0.506 0.987  2.42
8 Fe 0.022 0.011 0.481  2.41
9 Fe 0.515 0.011 0.988  2.35
10 Fe 0.009 0.506 0.498  2.37
11 Mn 0.002 0.991 0.988  2.18

Values from the calculation:
E_tot: -6.521 eV per atom
crystal system: triclinic

=====

## Mn2FeMoH (PBE-GGA)

Data for a relaxed structure of Mn2FeMoH.

a b c (Å): 3.707 3.707 3.638
angles (deg): 90.00 90.00 90.00
Site moments in Bohr magnetons follow the coordinates.
Element x y z (fractional)
1 Mo 0.500 0.500 0.500  -0.47
2 Fe 0.000 0.000 0.500  0.56
3 Mn 0.500 0.000 0.000  1.16
4 Mn 0.000 0.500 0.000  1.16
5 H 0.000 0.000 0.000  -0.01

Values from the calculation:
E_tot: -8.151 eV per atom
crystal system: tetragonal